No. 1
The following is a DFT calculation (PBE) of an optimized crystal structure of ScGa2Co2H.

Properties
**Volume**: 12.60 A^3/atom
**Total magnetization**: 0.00 μB per cell
**Electronic total energy**: -5.33 eV/atom

```
data_ScGa2Co2H
_chemical_formula_sum 'Sc1 Ga2 Co2 H1'
_symmetry_space_group_name_H-M 'P 4/m m m'
_symmetry_Int_Tables_number 123
_symmetry_space_group_name_Hall '-P 4 2'
_cell_length_a 3.772
_cell_length_b 3.772
_cell_length_c 5.315
_cell_angle_alpha 90.00
_cell_angle_beta 90.00
_cell_angle_gamma 90.00
loop_
_atom_site_label
_atom_site_type_symbol
_atom_site_fract_x
_atom_site_fract_y
_atom_site_fract_z
Sc1 Sc 0.000 0.000 0.000
Ga1 Ga 0.500 0.500 0.229
Co1 Co 0.000 0.500 0.500
H1 H 0.000 0.000 0.500
```


No. 2
The following is a DFT calculation (PBE) of an optimized crystal structure of K3Pr3HfS8.

Properties
**Uncorrected formation energy**: -1.79 eV per atom
**Volume**: 29.32 A^3/atom
**Total magnetization**: 0.00 μB per cell

```
data_K3Pr3HfS8
_chemical_formula_sum 'K9 Pr9 Hf3 S24'
_symmetry_space_group_name_H-M 'R -3 m'
_symmetry_Int_Tables_number 166
_symmetry_space_group_name_Hall '-R 3 2"'
_cell_length_a 8.2189
_cell_length_b 8.2189
_cell_length_c 22.5536
_cell_angle_alpha 90.00
_cell_angle_beta 90.00
_cell_angle_gamma 120.00
loop_
_atom_site_label
_atom_site_type_symbol
_atom_site_fract_x
_atom_site_fract_y
_atom_site_fract_z
K1 K 0.0000 0.5000 0.0000
Pr1 Pr 0.0000 0.5000 0.5000
Hf1 Hf 0.0000 0.0000 0.5000
S1 S 0.0000 0.0000 0.2366
S2 S 0.0303 0.5151 0.2312
```


No. 3
The following is a DFT calculation (PBE) of an optimized crystal structure of SbRhPbCl2.

Properties
**Uncorrected formation energy**: -0.18 eV per atom
**Volume**: 24.93 A^3/atom
**Total magnetization**: 0.00 μB per cell

```
data_SbRhPbCl2
_chemical_formula_sum 'Sb1 Rh1 Pb1 Cl2'
_symmetry_space_group_name_H-M 'P 4/m m m'
_symmetry_Int_Tables_number 123
_symmetry_space_group_name_Hall '-P 4 2'
_cell_length_a 4.812
_cell_length_b 4.812
_cell_length_c 5.383
_cell_angle_alpha 90.00
_cell_angle_beta 90.00
_cell_angle_gamma 90.00
loop_
_atom_site_label
_atom_site_type_symbol
_atom_site_fract_x
_atom_site_fract_y
_atom_site_fract_z
Sb1 Sb 0.000 0.000 0.000
Rh1 Rh 0.000 0.000 0.500
Pb1 Pb 0.500 0.500 0.000
Cl1 Cl 0.000 0.500 0.500
```


No. 4
The following is a DFT calculation (PBE) of an optimized crystal structure of YCl2.

Properties
**Uncorrected formation energy**: -1.87 eV per atom
**Volume**: 30.23 A^3/atom
**Total magnetization**: 0.00 μB per cell

```
data_YCl2
_chemical_formula_sum 'Y4 Cl8'
_symmetry_space_group_name_H-M 'C m c m'
_symmetry_Int_Tables_number 63
_symmetry_space_group_name_Hall '-C 2c 2'
_cell_length_a 3.847
_cell_length_b 17.188
_cell_length_c 5.486
_cell_angle_alpha 90.00
_cell_angle_beta 90.00
_cell_angle_gamma 90.00
loop_
_atom_site_label
_atom_site_type_symbol
_atom_site_fract_x
_atom_site_fract_y
_atom_site_fract_z
Y1 Y 0.000 0.198 0.250
Cl1 Cl 0.000 0.185 0.750
Cl2 Cl 0.000 0.409 0.750
```


No. 5
The following is a DFT calculation (PBE) of an optimized crystal structure of Hg2AsAu.

Properties
**Volume**: 21.62 A^3/atom
**Energy above the most stable polymorph in this dataset**: 0.127 eV/atom
**ΔH_f (0 K)**: 0.253 eV per atom
**Total magnetization**: 0.00 μB per cell

```
data_Hg2AsAu
_chemical_formula_sum 'Hg4 As2 Au2'
_symmetry_space_group_name_H-M 'C m m m'
_symmetry_Int_Tables_number 65
_symmetry_space_group_name_Hall '-C 2 2'
_cell_length_a 3.000
_cell_length_b 5.502
_cell_length_c 10.475
_cell_angle_alpha 90.00
_cell_angle_beta 90.00
_cell_angle_gamma 90.00
loop_
_atom_site_label
_atom_site_type_symbol
_atom_site_fract_x
_atom_site_fract_y
_atom_site_fract_z
Hg1 Hg 0.000 0.000 0.243
As1 As 0.000 0.500 0.500
Au1 Au 0.000 0.500 0.000
```


No. 6
The following is a DFT calculation (PBE) of an optimized crystal structure of TbNd8Er2.

Properties
**Volume**: 34.59 A^3/atom
**Energy above the most stable polymorph in this dataset**: 0.011 eV/atom
**ΔH_f (0 K)**: 0.169 eV per atom
**Total magnetization**: 0.00 μB per cell

```
data_TbNd8Er2
_chemical_formula_sum 'Tb2 Nd16 Er4'
_symmetry_space_group_name_H-M 'C 1 2/m 1'
_symmetry_Int_Tables_number 12
_cell_length_a 16.912
_cell_length_b 6.808
_cell_length_c 6.715
_cell_angle_alpha 90.00
_cell_angle_beta 100.15
_cell_angle_gamma 90.00
loop_
_symmetry_equiv_pos_as_xyz
'x,y,z'
'-x,-y,-z'
'-x,y,-z'
'x,-y,z'
'x+1/2,y+1/2,z'
'-x+1/2,-y+1/2,-z'
'-x+1/2,y+1/2,-z'
'x+1/2,-y+1/2,z'
loop_
_atom_site_label
_atom_site_type_symbol
_atom_site_fract_x
_atom_site_fract_y
_atom_site_fract_z
Tb1 Tb 0.000 0.000 0.000
Nd1 Nd 0.087 0.261 0.406
Nd2 Nd 0.095 0.500 0.915
Nd3 Nd 0.245 0.000 0.321
Er1 Er 0.197 0.000 0.808
```


No. 7
The following is a DFT calculation (PBE) of an optimized crystal structure of ZrIrPd.

Properties
**Volume**: 17.40 A^3/atom
**Energy above the most stable polymorph in this dataset**: 0.188 eV/atom
**ΔH_f (0 K)**: -0.533 eV per atom
**Total magnetization**: 0.00 μB per cell

```
data_ZrIrPd
_chemical_formula_sum 'Zr2 Ir2 Pd2'
_symmetry_space_group_name_H-M 'I 4 m m'
_symmetry_Int_Tables_number 107
_symmetry_space_group_name_Hall 'I 4 -2'
_cell_length_a 3.386
_cell_length_b 3.386
_cell_length_c 9.110
_cell_angle_alpha 90.00
_cell_angle_beta 90.00
_cell_angle_gamma 90.00
loop_
_atom_site_label
_atom_site_type_symbol
_atom_site_fract_x
_atom_site_fract_y
_atom_site_fract_z
Zr1 Zr 0.000 0.000 0.000
Ir1 Ir 0.000 0.000 0.650
Pd1 Pd 0.000 0.000 0.330
```


No. 8
The following is a DFT calculation (PBE) of an optimized crystal structure of Cu9PtAu2.

Properties
**Volume**: 13.32 A^3/atom
**ΔH_f (0 K)**: -0.082 eV per atom
**Total magnetization**: 0.00 μB per cell

```
data_Cu9PtAu2
_chemical_formula_sum 'Cu9 Pt1 Au2'
_symmetry_space_group_name_H-M 'P 4/m m m'
_symmetry_Int_Tables_number 123
_symmetry_space_group_name_Hall '-P 4 2'
_cell_length_a 3.777
_cell_length_b 3.777
_cell_length_c 11.202
_cell_angle_alpha 90.00
_cell_angle_beta 90.00
_cell_angle_gamma 90.00
loop_
_atom_site_label
_atom_site_type_symbol
_atom_site_fract_x
_atom_site_fract_y
_atom_site_fract_z
Cu1 Cu 0.000 0.000 0.000
Cu2 Cu 0.000 0.000 0.331
Cu3 Cu 0.000 0.500 0.162
Cu4 Cu 0.000 0.500 0.500
Pt1 Pt 0.500 0.500 0.000
Au1 Au 0.500 0.500 0.331
```